Entry 1:
Material: TaReB2As
Method: DFT, PBE
State: relaxed

Structure (extended XYZ):
```
5
Lattice="3.9941 0.0000 0.0000 0.0000 3.9941 0.0000 0.0000 0.0000 4.9844" Properties=species:S:1:pos:R:3 pbc="T T T"
Ta 0.0000 0.0000 0.0000
Re 1.9970 1.9970 2.4922
B 0.0000 1.9970 2.4922
B 1.9970 0.0000 2.4922
As 1.9970 1.9970 0.0000
```

Properties
Total magnetization in μB/f.u.: 0.0
Symmetry: P4/mmm (123)
Theoretical density in g/cm3: 9.7
ΔH_f (0 K) in eV/atom: 1.230
Uncorrected energy in eV/atom: -7.231



Entry 2:
Material: Ce2Tm4N
Method: DFT, PBE
State: relaxed

Structure (extended XYZ):
```
7
Lattice="-2.3268 2.3268 9.0188 2.3268 -2.3268 9.0188 2.3268 2.3268 -9.0188" Properties=species:S:1:pos:R:3 pbc="T T T"
Ce 0.0000 0.0000 3.2845
Ce 0.0000 0.0000 14.7531
Tm 2.3268 0.0000 0.0000
Tm 0.0000 0.0000 6.6725
Tm 0.0000 2.3268 0.0000
Tm 0.0000 0.0000 11.3652
N 0.0000 0.0000 9.0188
```

Properties
Total magnetization in μB/f.u.: 3.1
Symmetry: I4/mmm (139)
Theoretical density in g/cm3: 8.2
Uncorrected energy in eV/atom: -5.625
ΔE_f (raw) in kJ/mol of formula units: -125